--- w ---
SrHf2Pd, relaxed, DFT PBE; spin magnetization = 0.00 μB per cell; space-group type = Fm-3m (225); V = 21.75 Å³ per atom; crystal system = cubic
1.0
0.000 3.517 3.517
3.517 0.000 3.517
3.517 3.517 0.000
Sr Hf Pd
1 2 1
Cartesian
0.000 0.000 0.000 Sr
1.759 1.759 1.759 Hf
5.276 5.276 5.276 Hf
3.517 3.517 3.517 Pd

---

--- x ---
SrHf2Pd, relaxed, DFT PBE; spin magnetization = 0.00 μB per cell; space-group type = I-42d (122); V = 33.52 Å³ per atom; crystal system = tetragonal
1.0
-2.707 2.707 9.148
2.707 -2.707 9.148
2.707 2.707 -9.148
Sr Hf Pd
2 4 2
Cartesian
0.000 0.000 0.000 Sr
0.000 2.707 4.574 Sr
1.354 -0.071 6.861 Hf
2.636 1.354 2.287 Hf
1.354 2.778 -2.287 Hf
0.071 1.354 11.435 Hf
2.707 0.000 4.574 Pd
0.000 0.000 9.148 Pd

---

Ranking the structures above by energy, w is first and the second is 200 meV per atom behind.